#A
Entry from Alexandria: a relaxed AlAgPd4 crystal (PBE).

Structure (POSCAR):
```
AlAgPd4
1.0
4.4172 -1.4175 0.0000
4.4172 1.4175 0.0000
-3.5989 0.0000 7.7822
Al Ag Pd
1 1 4
Direct
0.0000 0.0000 0.0000 Al
0.5000 0.5000 0.5000 Ag
0.1588 0.1588 0.3292 Pd
0.3573 0.3573 0.1415 Pd
0.6427 0.6427 0.8585 Pd
0.8412 0.8412 0.6708 Pd
```

Results
SG: No. 12



#B
Entry from Alexandria: a relaxed AlAgPd4 crystal (PBE).

Structure (POSCAR):
```
AlAgPd4
1.0
2.8863 0.0000 0.0000
0.0000 2.8863 0.0000
0.0000 0.0000 11.1240
Al Ag Pd
1 1 4
Direct
0.0000 0.0000 0.0000 Al
0.5000 0.5000 0.5000 Ag
0.0000 0.0000 0.3199 Pd
0.0000 0.0000 0.6801 Pd
0.5000 0.5000 0.1420 Pd
0.5000 0.5000 0.8580 Pd
```

Results
SG: No. 123



In terms of stability, #B leads; the second structure lies 110 meV per atom higher.



#A
Entry from Alexandria: a relaxed Pm2AlAg crystal (PBE).

Structure (POSCAR):
```
Pm2AlAg
1.0
1.8560 1.0716 9.2581
-1.8560 1.0716 9.2581
0.0000 -2.1431 9.2581
Pm Al Ag
2 1 1
Direct
0.2478 0.2478 0.2478 Pm
0.7522 0.7522 0.7522 Pm
0.5000 0.5000 0.5000 Al
0.0000 0.0000 0.0000 Ag
```

Results
SG: No. 166



#B
Entry from Alexandria: a relaxed Pm2AlAg crystal (PBE).

Structure (POSCAR):
```
Pm2AlAg
1.0
3.6359 0.0000 0.0000
0.0000 3.6359 0.0000
0.0000 0.0000 7.7594
Pm Al Ag
2 1 1
Direct
0.0000 0.0000 0.2465 Pm
0.0000 0.0000 0.7535 Pm
0.5000 0.5000 0.0000 Al
0.5000 0.5000 0.5000 Ag
```

Results
SG: No. 123



In terms of stability, #B leads; the second structure lies 235 meV per atom higher.



#A
Entry from Alexandria: a relaxed Pm2Al3Ag2 crystal (PBE).

Structure (POSCAR):
```
Pm2Al3Ag2
1.0
5.4175 -2.2568 0.0000
5.4175 2.2568 0.0000
-2.8572 0.0000 6.2322
Pm Al Ag
2 3 2
Direct
0.1522 0.1522 0.2766 Pm
0.8478 0.8478 0.7234 Pm
0.4028 0.4028 0.0713 Al
0.5000 0.5000 0.5000 Al
0.5972 0.5972 0.9287 Al
0.1450 0.1450 0.7500 Ag
0.8550 0.8550 0.2500 Ag
```

Results
SG: No. 12



#B
Entry from Alexandria: a relaxed Pm2Al3Ag2 crystal (PBE).

Structure (POSCAR):
```
Pm2Al3Ag2
1.0
2.1874 -9.6203 0.0000
2.1874 9.6203 0.0000
0.0000 0.0000 7.4651
Pm Al Ag
4 6 4
Direct
0.0542 0.9458 0.7500 Pm
0.1565 0.8435 0.2500 Pm
0.8435 0.1565 0.7500 Pm
0.9458 0.0542 0.2500 Pm
0.2245 0.7755 0.7500 Al
0.4410 0.5590 0.5760 Al
0.4410 0.5590 0.9240 Al
0.5590 0.4410 0.0760 Al
0.5590 0.4410 0.4240 Al
0.7755 0.2245 0.2500 Al
0.3109 0.6891 0.0547 Ag
0.3109 0.6891 0.4453 Ag
0.6891 0.3109 0.5547 Ag
0.6891 0.3109 0.9453 Ag
```

Results
SG: No. 63



In terms of stability, #A leads; the second structure lies 19 meV per atom higher.